[1]
An optimized crystal structure of MgCuPt2, computed with PBE.

For the density of states at the Fermi level, the calculation gives 2.27 states/eV per cell. Its energy is -4.657 eV per atom. The energy relative to the elements comes out at -0.2141 eV per atom. Its size of the total moment is 0.00 μB/f.u. The volume is 15.2 Å³/atom.

The structure in POSCAR format:
```
MgCuPt2
1.0
-7.227 0.567 -5.368
-7.352 -2.177 -4.752
-8.499 -0.289 -3.008
Mg Cu Pt
1 1 2
Cartesian
-5.750 -0.473 -3.271
-11.535 -0.950 -6.562
-17.408 -1.433 -9.903
-23.002 -1.893 -13.085
```

***

[2]
An optimized crystal structure of Be2SbW, computed with PBE.

The formation energy from raw total energies is 0.66 eV per atom. For the density of states at the Fermi level, the calculation gives 1.82 states/eV per cell. Its energy is -5.470 eV per atom. Its size of the total moment is 0.00 μB/f.u. The volume is 16.3 Å³/atom.

The structure in POSCAR format:
```
Be2SbW
1.0
2.849 0.000 0.000
0.000 2.849 0.000
0.000 0.000 8.045
Be W Sb
2 1 1
Cartesian
0.000 0.000 0.146
1.425 1.425 1.079
1.425 1.425 6.578
0.000 0.000 4.264
```